Material: AcMnFe2O6
Method: DFT, GGA+U
State: relaxed

abc: 5.3375 5.3802 5.7319
angles: 62.86 62.86 60.80
Site moments in Bohr magnetons follow the coordinates.
Sites, in units of the cell vectors:
Ac 0.7935 0.7810 0.6469  0.01
Mn 0.3255 0.3271 0.0262  3.40
Fe 0.5249 0.5230 0.4195  3.68
Fe 0.0105 0.0047 0.9870  3.25
O 0.5857 0.2647 0.2220  0.02
O 0.2446 0.9383 0.2175  -0.10
O 0.9314 0.6097 0.2070  -0.09
O 0.3293 0.7133 0.7498  -0.04
O 0.7246 0.1900 0.7693  -0.10
O 0.1915 0.3096 0.7699  -0.13

Calculated values
Space-group type: P1 (1)
Calculated volume: 122 Å³/f.u.
E_tot: -70.426 eV per cell